Arrangement P

DFT (PBE) results for AcPrIrRh after structural relaxation.

- crystal system = cubic

Lattice parameters (Å, degrees): 7.287 7.287 7.287 90.00 90.00 90.00
Space group F-43m (No. 216)
Inequivalent atoms, fractional coordinates:
Ac 0.000 0.000 0.000 x4
Pr 0.000 0.000 0.500 x4
Ir 0.250 0.250 0.250 x4
Rh 0.250 0.250 0.750 x4

***

Arrangement Q

DFT (PBE) results for AcPrIrRh after structural relaxation.

- crystal system = orthorhombic

Lattice parameters (Å, degrees): 4.336 4.103 11.252 90.00 90.00 90.00
Space group Amm2 (No. 38)
Inequivalent atoms, fractional coordinates:
Ac 0.000 0.000 0.000 x2
Pr 0.500 0.000 0.717 x2
Ir 0.500 0.000 0.436 x2
Rh 0.000 0.000 0.274 x2

***

Stability, highest: arrangement Q

***

Arrangement P

DFT (PBE) results for AcPrZnIr after structural relaxation.

- crystal system = cubic

Lattice parameters (Å, degrees): 7.432 7.432 7.432 90.00 90.00 90.00
Space group F-43m (No. 216)
Inequivalent atoms, fractional coordinates:
Ac 0.000 0.000 0.000 x4
Pr 0.000 0.000 0.500 x4
Zn 0.250 0.250 0.750 x4
Ir 0.250 0.250 0.250 x4

***

Arrangement Q

DFT (PBE) results for AcPrZnIr after structural relaxation.

- crystal system = orthorhombic

Lattice parameters (Å, degrees): 4.561 4.240 11.091 90.00 90.00 90.00
Space group Amm2 (No. 38)
Inequivalent atoms, fractional coordinates:
Ac 0.000 0.000 0.000 x2
Pr 0.500 0.000 0.720 x2
Zn 0.500 0.000 0.420 x2
Ir 0.000 0.000 0.290 x2

***

Stability, highest: arrangement Q

***

Arrangement P

DFT (PBE) results for Ac3IrPt after structural relaxation.

- crystal system = monoclinic

Lattice parameters (Å, degrees): 8.935 4.209 9.090 90.00 102.58 90.00
Space group P2_1/m (No. 11)
Inequivalent atoms, fractional coordinates:
Ac 0.074 0.250 0.330 x2
Ac 0.284 0.250 0.993 x2
Ac 0.395 0.750 0.637 x2
Ir 0.170 0.250 0.670 x2
Pt 0.329 0.750 0.265 x2

***

Arrangement Q

DFT (PBE) results for Ac3IrPt after structural relaxation.

- crystal system = monoclinic

Lattice parameters (Å, degrees): 15.877 4.468 10.206 90.00 105.89 90.00
Space group C2/m (No. 12)
Inequivalent atoms, fractional coordinates:
Ac 0.028 0.000 0.304 x4
Ac 0.146 0.500 0.012 x4
Ac 0.197 0.500 0.640 x4
Ir 0.162 0.000 0.821 x4
Pt 0.158 0.500 0.322 x4

***

Stability, highest: arrangement Q

***

Arrangement P

DFT (PBE) results for Ac4Ir2Pt after structural relaxation.

- crystal system = orthorhombic

Lattice parameters (Å, degrees): 4.292 14.229 14.503 90.00 90.00 90.00
Space group Cmcm (No. 63)
Inequivalent atoms, fractional coordinates:
Ac 0.000 0.000 0.000 x4
Ac 0.000 0.272 0.117 x8
Ac 0.000 0.461 0.750 x4
Ir 0.000 0.368 0.567 x8
Pt 0.000 0.115 0.750 x4

***

Arrangement Q

DFT (PBE) results for Ac4Ir2Pt after structural relaxation.

- crystal system = monoclinic

Lattice parameters (Å, degrees): 15.909 4.397 7.559 90.00 117.53 90.00
Space group C2/m (No. 12)
Inequivalent atoms, fractional coordinates:
Ac 0.134 0.000 0.460 x4
Ac 0.135 0.500 0.981 x4
Ir 0.241 0.500 0.739 x4
Pt 0.000 0.000 0.000 x2

***

Stability, highest: arrangement P